No. 1
Entry from Alexandria via LeMat-Bulk: crystalline TbPrSm2N4 at its relaxed geometry (PBE).

Results
* ΔE_f (raw): -1461.9 meV/atom
* space group: P2/m (10)

```
TbPrSm2N4
1.0
6.221 0.000 0.000
0.000 3.594 0.000
-2.069 0.000 5.870
Tb Pr Sm N
1 1 2 4
direct
0.000 0.000 0.000
0.000 0.500 0.500
0.500 0.000 0.500
0.500 0.500 0.000
0.248 0.500 0.244
0.252 0.000 0.756
0.748 0.000 0.244
0.752 0.500 0.756
```


No. 2
Entry from Alexandria via LeMat-Bulk: crystalline RbTaPd3 at its relaxed geometry (PBE).

Results
* space group: Pm-3m (221)
* energy of formation from the pure elements: 567 meV per atom

```
RbTaPd3
1.0
5.031 0.000 0.000
0.000 5.031 0.000
0.000 0.000 5.031
Rb Ta Pd
1 1 3
direct
0.000 0.000 0.000
0.500 0.500 0.500
0.000 0.500 0.500
0.500 0.000 0.500
0.500 0.500 0.000
```


No. 3
Entry from Alexandria via LeMat-Bulk: crystalline TbSi7Ru3 at its relaxed geometry (PBE).

Results
* ΔE_f (raw): -545.1 meV/atom
* space group: R-3c (167)

```
TbSi7Ru3
1.0
3.817 2.204 6.661
-3.817 2.204 6.661
0.000 -4.407 6.661
Tb Si Ru
2 14 6
direct
0.000 0.000 0.000
0.500 0.500 0.500
0.062 0.853 0.669
0.147 0.331 0.938
0.169 0.353 0.562
0.250 0.250 0.250
0.331 0.938 0.147
0.353 0.562 0.169
0.438 0.831 0.647
0.562 0.169 0.353
0.647 0.438 0.831
0.669 0.062 0.853
0.750 0.750 0.750
0.831 0.647 0.438
0.853 0.669 0.062
0.938 0.147 0.331
0.078 0.750 0.422
0.250 0.578 0.922
0.422 0.078 0.750
0.578 0.922 0.250
0.750 0.422 0.078
0.922 0.250 0.578
```


No. 4
Entry from Alexandria via LeMat-Bulk: crystalline La3PrNd2P6 at its relaxed geometry (PBE).

Results
* space group: C2/m (12)
* energy of formation from the pure elements: -1553 meV per atom

```
La3PrNd2P6
1.0
3.661 -6.341 0.000
3.661 6.341 0.000
-2.439 0.000 6.908
La Pr Nd P
3 1 2 6
direct
0.000 0.000 0.000
0.333 0.667 0.000
0.667 0.333 0.000
0.500 0.500 0.500
0.167 0.833 0.500
0.833 0.167 0.500
0.083 0.418 0.254
0.248 0.248 0.746
0.418 0.083 0.254
0.582 0.917 0.746
0.752 0.752 0.254
0.917 0.582 0.746
```


No. 5
Entry from Alexandria via LeMat-Bulk: crystalline TbDy2Er3S6 at its relaxed geometry (PBE).

Results
* ΔE_f (raw): -1977.5 meV/atom
* space group: C2/m (12)

```
TbDy2Er3S6
1.0
8.468 -1.939 0.000
8.468 1.939 0.000
-1.832 0.000 7.589
Tb Dy Er S
1 2 3 6
direct
0.000 0.000 0.000
0.334 0.334 0.667
0.666 0.666 0.333
0.000 0.000 0.500
0.334 0.334 0.166
0.666 0.666 0.834
0.166 0.166 0.586
0.168 0.168 0.081
0.499 0.499 0.254
0.501 0.501 0.746
0.832 0.832 0.919
0.834 0.834 0.414
```


No. 6
Entry from Alexandria via LeMat-Bulk: crystalline Si4Se3 at its relaxed geometry (PBE).

Results
* ΔE_f (raw): 847.5 meV/atom
* space group: P6/mmm (191)

```
Si4Se3
1.0
5.620 0.000 0.000
-2.810 4.867 0.000
0.000 0.000 4.997
Si Se
4 3
direct
0.000 0.000 0.232
0.000 0.000 0.768
0.333 0.667 0.000
0.667 0.333 0.000
0.000 0.500 0.500
0.500 0.000 0.500
0.500 0.500 0.500
```


No. 7
Entry from Alexandria via LeMat-Bulk: crystalline Cs3Bi2 at its relaxed geometry (PBE).

Results
* space group: C2/c (15)
* energy of formation from the pure elements: -354 meV per atom

```
Cs3Bi2
1.0
5.122 -5.322 0.000
5.122 5.322 0.000
-2.631 0.000 9.950
Cs Bi
6 4
direct
0.157 0.843 0.750
0.242 0.341 0.018
0.341 0.242 0.518
0.659 0.758 0.482
0.758 0.659 0.982
0.843 0.157 0.250
0.119 0.692 0.339
0.308 0.881 0.161
0.692 0.119 0.839
0.881 0.308 0.661
```


No. 8
Entry from Alexandria via LeMat-Bulk: crystalline Be2B4N at its relaxed geometry (PBE).

Results
* ΔE_f (raw): 1207.9 meV/atom
* space group: I4/mmm (139)

```
Be2B4N
1.0
3.827 0.000 0.000
0.000 3.827 0.000
0.000 0.000 8.631
Be B N
4 8 2
direct
0.000 0.000 0.123
0.000 0.000 0.877
0.500 0.500 0.377
0.500 0.500 0.623
0.000 0.000 0.341
0.000 0.000 0.659
0.000 0.500 0.000
0.000 0.500 0.500
0.500 0.000 0.000
0.500 0.000 0.500
0.500 0.500 0.159
0.500 0.500 0.841
0.000 0.000 0.500
0.500 0.500 0.000
```


No. 9
Entry from Alexandria via LeMat-Bulk: crystalline RbV3As at its relaxed geometry (PBE).

Results
* space group: Pm-3m (221)
* energy of formation from the pure elements: 2591 meV per atom

```
RbV3As
1.0
4.533 0.000 0.000
0.000 4.533 0.000
0.000 0.000 4.533
Rb V As
1 3 1
direct
0.000 0.000 0.000
0.000 0.000 0.500
0.000 0.500 0.000
0.500 0.000 0.000
0.500 0.500 0.500
```


No. 10
Entry from Alexandria via LeMat-Bulk: crystalline Mg2B2PbO6 at its relaxed geometry (PBE).

Results
* ΔE_f (raw): -2298.4 meV/atom
* space group: P-1 (2)

```
Mg2B2PbO6
1.0
5.104 0.000 0.000
2.504 4.575 0.000
1.814 0.505 6.196
Mg B Pb O
2 2 1 6
direct
0.249 0.302 0.353
0.751 0.698 0.647
0.416 0.338 0.731
0.584 0.662 0.269
0.000 0.000 0.000
0.156 0.360 0.674
0.346 0.938 0.249
0.421 0.585 0.768
0.579 0.415 0.232
0.654 0.062 0.751
0.844 0.640 0.326
```


No. 11
Entry from Alexandria via LeMat-Bulk: crystalline Sm4YGa2 at its relaxed geometry (PBE).

Results
* space group: R-3m (166)
* energy of formation from the pure elements: -95 meV per atom

```
Sm4YGa2
1.0
2.527 1.459 10.005
-2.527 1.459 10.005
0.000 -2.918 10.005
Sm Y Ga
4 1 2
direct
0.101 0.101 0.101
0.298 0.298 0.298
0.702 0.702 0.702
0.899 0.899 0.899
0.500 0.500 0.500
0.401 0.401 0.401
0.599 0.599 0.599
```


No. 12
Entry from Alexandria via LeMat-Bulk: crystalline K4InHg at its relaxed geometry (PBE).

Results
* space group: F-43m (216)
* energy of formation from the pure elements: 209 meV per atom

```
K4InHg
1.0
0.000 5.281 5.281
5.281 0.000 5.281
5.281 5.281 0.000
K In Hg
4 1 1
direct
0.125 0.125 0.125
0.125 0.125 0.624
0.125 0.624 0.125
0.624 0.125 0.125
0.500 0.500 0.500
0.750 0.750 0.750
```


No. 13
Entry from Alexandria via LeMat-Bulk: crystalline SrSbCl2 at its relaxed geometry (PBE).

Results
* ΔE_f (raw): -1172.4 meV/atom
* space group: Cm (8)

```
SrSbCl2
1.0
13.394 0.000 0.000
0.000 3.629 0.000
-1.719 0.000 4.526
Sr Sb Cl
2 2 4
direct
0.000 0.000 0.000
0.500 0.500 0.000
0.253 0.500 0.227
0.753 0.000 0.227
0.033 0.500 0.526
0.307 0.000 0.776
0.533 0.000 0.526
0.807 0.500 0.776
```


No. 14
Entry from Alexandria via LeMat-Bulk: crystalline Pm3Nd3Dy at its relaxed geometry (PBE).

Results
* space group: R-3 (148)
* energy of formation from the pure elements: 219 meV per atom

```
Pm3Nd3Dy
1.0
4.399 2.540 7.419
-4.399 2.540 7.419
0.000 -5.079 7.419
Pm Nd Dy
6 6 2
direct
0.068 0.569 0.221
0.221 0.068 0.569
0.431 0.779 0.932
0.569 0.221 0.068
0.779 0.932 0.431
0.932 0.431 0.779
0.206 0.681 0.438
0.319 0.562 0.794
0.438 0.206 0.681
0.562 0.794 0.319
0.681 0.438 0.206
0.794 0.319 0.562
0.155 0.155 0.155
0.845 0.845 0.845
```


No. 15
Entry from Alexandria via LeMat-Bulk: crystalline Hf2CrPb at its relaxed geometry (PBE).

Results
* space group: P4/mmm (123)
* energy of formation from the pure elements: 64 meV per atom

```
Hf2CrPb
1.0
3.226 0.000 0.000
0.000 3.226 0.000
0.000 0.000 7.943
Hf Cr Pb
2 1 1
direct
0.000 0.000 0.192
0.000 0.000 0.808
0.500 0.500 0.000
0.500 0.500 0.500
```


No. 16
Entry from Alexandria via LeMat-Bulk: crystalline PmSbAsRh2 at its relaxed geometry (PBE).

Results
* ΔE_f (raw): -561.8 meV/atom
* space group: P4mm (99)

```
PmSbAsRh2
1.0
4.216 0.000 0.000
0.000 4.216 0.000
0.000 0.000 6.754
Pm Sb As Rh
1 1 1 2
direct
0.000 0.000 0.000
0.500 0.500 0.146
0.000 0.000 0.571
0.000 0.500 0.391
0.500 0.000 0.391
```


No. 17
Entry from Alexandria via LeMat-Bulk: crystalline AcH6Rh3Pb at its relaxed geometry (PBE).

Results
* electronic total energy: -4.82 eV per atom
* space group: R3 (146)

```
AcH6Rh3Pb
1.0
3.749 2.164 2.835
-3.749 2.164 2.835
0.000 -4.329 2.835
Ac H Rh Pb
1 6 3 1
direct
0.000 0.000 0.000
0.090 0.491 0.234
0.103 0.480 0.877
0.234 0.090 0.491
0.480 0.877 0.103
0.491 0.234 0.090
0.877 0.103 0.480
0.083 0.383 0.547
0.383 0.547 0.083
0.547 0.083 0.383
0.591 0.591 0.591
```


No. 18
Entry from Alexandria via LeMat-Bulk: crystalline Dy2ZnGa2 at its relaxed geometry (PBE).

Results
* space group: C2/m (12)
* energy of formation from the pure elements: -584 meV per atom

```
Dy2ZnGa2
1.0
5.313 -2.200 0.000
5.313 2.200 0.000
-4.876 0.000 9.230
Dy Zn Ga
4 2 4
direct
0.018 0.018 0.332
0.183 0.183 0.096
0.817 0.817 0.904
0.982 0.982 0.668
0.274 0.274 0.656
0.726 0.726 0.344
0.361 0.361 0.433
0.479 0.479 0.117
0.521 0.521 0.883
0.639 0.639 0.567
```


No. 19
Entry from Alexandria via LeMat-Bulk: crystalline CsHf3I at its relaxed geometry (PBE).

Results
* ΔE_f (raw): 1423.2 meV/atom
* space group: Pm-3m (221)

```
CsHf3I
1.0
5.460 0.000 0.000
0.000 5.460 0.000
0.000 0.000 5.460
Cs Hf I
1 3 1
direct
0.000 0.000 0.000
0.000 0.500 0.500
0.500 0.000 0.500
0.500 0.500 0.000
0.500 0.500 0.500
```


No. 20
Entry from Alexandria via LeMat-Bulk: crystalline Er3Zn2Co7 at its relaxed geometry (PBE).

Results
* space group: R-3m (166)
* energy of formation from the pure elements: -238 meV per atom

```
Er3Zn2Co7
1.0
2.516 1.453 8.081
-2.516 1.453 8.081
0.000 -2.905 8.081
Er Zn Co
3 2 7
direct
0.000 0.000 0.000
0.140 0.140 0.140
0.860 0.860 0.860
0.334 0.334 0.334
0.666 0.666 0.666
0.082 0.585 0.585
0.415 0.415 0.918
0.415 0.918 0.415
0.500 0.500 0.500
0.585 0.082 0.585
0.585 0.585 0.082
0.918 0.415 0.415
```